Entry 1:
VASP calculation (PBE-GGA) on a geometry-optimized Mn2TlGeCl structure.

Calculated values
Space group ... No. 123
N(E_F) ... 0.777 states/eV/atom
Formation energy without anion corrections ... 0.93 eV per atom

a b c (Å): 5.3502 5.3502 5.2511
angles (deg): 90.00 90.00 90.00
Element x y z (fractional)
1 Mn 0.0000 0.5000 0.0000
2 Mn 0.5000 0.0000 0.0000
3 Tl 0.0000 0.0000 0.0000
4 Ge 0.0000 0.0000 0.5000
5 Cl 0.5000 0.5000 0.5000

=====

Entry 2:
VASP calculation (PBE-GGA) on a geometry-optimized PaTaVGe2 structure.

Calculated values
Formation energy ... -0.3559 eV per atom
Space group ... No. 119
N(E_F) ... 1.140 states/eV/atom

a b c (Å): 6.5349 6.5349 6.5349
angles (deg): 144.66 144.66 50.84
Element x y z (fractional)
1 Pa 0.0000 0.0000 0.0000
2 Ta 0.7500 0.2500 0.5000
3 V 0.2500 0.7500 0.5000
4 Ge 0.3938 0.3938 0.0000
5 Ge 0.6062 0.6062 0.0000

=====

Entry 3:
VASP calculation (PBE-GGA) on a geometry-optimized Y2ReNi2 structure.

Calculated values
Formation energy ... -0.0696 eV per atom
Space group ... No. 127
N(E_F) ... 1.107 states/eV/atom

a b c (Å): 6.5907 6.5907 4.2611
angles (deg): 90.00 90.00 90.00
Element x y z (fractional)
1 Y 0.1815 0.3185 0.0000
2 Y 0.3185 0.8185 0.0000
3 Y 0.6815 0.1815 0.0000
4 Y 0.8185 0.6815 0.0000
5 Re 0.0000 0.0000 0.5000
6 Re 0.5000 0.5000 0.5000
7 Ni 0.1294 0.6294 0.5000
8 Ni 0.3706 0.1294 0.5000
9 Ni 0.6294 0.8706 0.5000
10 Ni 0.8706 0.3706 0.5000

=====

Entry 4:
VASP calculation (PBE-GGA) on a geometry-optimized Mg2FeAg structure.

Calculated values
Formation energy ... 0.1313 eV per atom
Space group ... No. 166
N(E_F) ... 0.642 states/eV/atom

a b c (Å): 9.3462 9.3462 9.3462
angles (deg): 18.06 18.06 18.06
Element x y z (fractional)
1 Mg 0.2459 0.2459 0.2459
2 Mg 0.7541 0.7541 0.7541
3 Fe 0.5000 0.5000 0.5000
4 Ag 0.0000 0.0000 0.0000